Entry 1:
Crystalline ZrSc2I6 at its relaxed geometry, computed with PBE-GGA.

Results
The space group is C2/m. As for the calculated density: 4.9 g cm⁻³. The value obtained for the size of the total moment is 0.00 Bohr magnetons per cell. The calculation puts the uncorrected energy at -39.7 eV/cell. The value obtained for the density of states at the Fermi level is 3.00 states/eV/f.u.

a b c (Å): 8.6494 8.6494 11.1446
angles (deg): 118.26 118.26 26.25
With the nearest neighbours (Å) after each atom.
Sites, in units of the cell vectors:
Zr: 0.0000 0.0000 0.0000  6 I 3.00-3.03
Sc: 0.3558 0.3558 0.7074  6 I 2.82-3.15
Sc: 0.6442 0.6442 0.2926  6 I 2.82-3.15
I: 0.0137 0.0137 0.2811  2 Sc 2.90, 1 Zr 3.03
I: 0.2955 0.2955 0.3920  3 Sc 2.97-3.15
I: 0.3539 0.3539 0.9589  1 Sc 2.82, 2 Zr 3.00
I: 0.6461 0.6461 0.0411  1 Sc 2.82, 2 Zr 3.00
I: 0.7045 0.7045 0.6080  3 Sc 2.97-3.15
I: 0.9863 0.9863 0.7189  2 Sc 2.90, 1 Zr 3.03

***

Entry 2:
Crystalline ZrScI2 at its relaxed geometry, computed with PBE-GGA.

Results
The space group is I-42d. As for the calculated density: 5.7 g cm⁻³. The value obtained for the size of the total moment is 0.00 Bohr magnetons per cell. The calculation puts the uncorrected energy at -35.3 eV/cell. As for the energy above the most stable polymorph in this dataset: 303 meV per atom. The value obtained for the density of states at the Fermi level is 5.73 states/eV/f.u.

a b c (Å): 6.6642 6.6642 6.6642
angles (deg): 107.26 107.26 113.99
With the nearest neighbours (Å) after each atom.
Sites, in units of the cell vectors:
Zr: 0.0000 0.0000 0.0000  4 I 2.95
Zr: 0.7500 0.2500 0.5000  4 I 2.95
Sc: 0.2500 0.7500 0.5000  4 I 2.93
Sc: 0.5000 0.5000 0.0000  4 I 2.93
I: 0.1263 0.1250 0.5013  2 Sc 2.93, 2 Zr 2.95
I: 0.3750 0.8737 0.9987  2 Sc 2.93, 2 Zr 2.95
I: 0.6237 0.6250 0.4987  2 Sc 2.93, 2 Zr 2.95
I: 0.8750 0.3763 0.0013  2 Sc 2.93, 2 Zr 2.95

***

Entry 3:
Crystalline ZrSc2I at its relaxed geometry, computed with PBE-GGA.

Results
The space group is Fm-3m. As for the calculated density: 5.4 g cm⁻³. The value obtained for the size of the total moment is 1.13 Bohr magnetons per cell. The calculation puts the uncorrected energy at -21.7 eV/cell. As for the energy above the most stable polymorph in this dataset: 240 meV per atom. The value obtained for the density of states at the Fermi level is 6.15 states/eV/f.u.

a b c (Å): 5.1066 5.1066 5.1066
angles (deg): 60.00 60.00 60.00
With the nearest neighbours (Å) after each atom.
Sites, in units of the cell vectors:
Zr: 0.0000 0.0000 0.0000  8 Sc 3.13
Sc: 0.2500 0.2500 0.2500  4 Zr 3.13, 4 I 3.13
Sc: 0.7500 0.7500 0.7500  4 Zr 3.13, 4 I 3.13
I: 0.5000 0.5000 0.5000  8 Sc 3.13

***

Entry 4:
Crystalline ZrScI6 at its relaxed geometry, computed with PBE-GGA.

Results
The space group is C2/m. As for the calculated density: 4.4 g cm⁻³. The value obtained for the size of the total moment is 0.87 Bohr magnetons per cell. The calculation puts the uncorrected energy at -32.0 eV/cell. The value obtained for the density of states at the Fermi level is 3.15 states/eV/f.u.

a b c (Å): 7.9751 7.9751 7.1159
angles (deg): 98.75 98.75 127.04
With the nearest neighbours (Å) after each atom.
Sites, in units of the cell vectors:
Zr: 0.0000 0.0000 0.0000  6 I 2.89-2.92
Sc: 0.5000 0.5000 0.5000  6 I 2.90-2.94
I: 0.1062 0.3971 0.2516  1 Sc 2.90, 1 Zr 2.92
I: 0.2476 0.2476 0.7520  1 Zr 2.89, 1 Sc 2.94
I: 0.3971 0.1062 0.2516  1 Sc 2.90, 1 Zr 2.92
I: 0.6029 0.8938 0.7484  1 Sc 2.90, 1 Zr 2.92
I: 0.7524 0.7524 0.2480  1 Zr 2.89, 1 Sc 2.94
I: 0.8938 0.6029 0.7484  1 Sc 2.90, 1 Zr 2.92

***

Entry 5:
Crystalline ZrScI2 at its relaxed geometry, computed with PBE-GGA.

Results
The space group is Fm-3m. As for the calculated density: 6.9 g cm⁻³. The value obtained for the size of the total moment is 0.00 Bohr magnetons per cell. The calculation puts the uncorrected energy at -18.9 eV/cell. As for the energy above the most stable polymorph in this dataset: 0 meV per atom. The value obtained for the density of states at the Fermi level is 4.75 states/eV/f.u.

a b c (Å): 5.1117 5.1117 5.1117
angles (deg): 60.00 60.00 60.00
With the nearest neighbours (Å) after each atom.
Sites, in units of the cell vectors:
Zr: 0.0000 0.0000 0.0000  8 I 3.13
Sc: 0.5000 0.5000 0.5000  8 I 3.13
I: 0.2500 0.2500 0.2500  4 Zr 3.13, 4 Sc 3.13
I: 0.7500 0.7500 0.7500  4 Zr 3.13, 4 Sc 3.13

***

Entry 6:
Crystalline ZrScI3 at its relaxed geometry, computed with PBE-GGA.

Results
The space group is Pm-3m. As for the calculated density: 4.5 g cm⁻³. The value obtained for the size of the total moment is 2.94 Bohr magnetons per cell. The calculation puts the uncorrected energy at -19.3 eV/cell. As for the energy above the most stable polymorph in this dataset: 0 meV per atom. The value obtained for the density of states at the Fermi level is 8.59 states/eV/f.u.

a b c (Å): 5.7477 5.7477 5.7477
angles (deg): 90.00 90.00 90.00
With the nearest neighbours (Å) after each atom.
Sites, in units of the cell vectors:
Zr: 0.0000 0.0000 0.0000  6 I 2.87
Sc: 0.5000 0.5000 0.5000  12 I 4.06
I: 0.0000 0.0000 0.5000  2 Zr 2.87
I: 0.0000 0.5000 0.0000  2 Zr 2.87
I: 0.5000 0.0000 0.0000  2 Zr 2.87